1.
# PBE RbGdBiTe3, relaxed
data_RbGdBiTe3
_cell_length_a 4.483
_cell_length_b 17.459
_cell_length_c 11.855
_cell_angle_alpha 90.00
_cell_angle_beta 90.00
_cell_angle_gamma 90.00
_symmetry_space_group_name_H-M 'C m c m'
_symmetry_Int_Tables_number 63
_symmetry_space_group_name_Hall '-C 2c 2'
loop_
_atom_site_label
_atom_site_type_symbol
_atom_site_fract_x
_atom_site_fract_y
_atom_site_fract_z
_atom_site_occupancy
Rb1 Rb 0.000 0.238 0.250 1
Gd1 Gd 0.000 0.000 0.000 1
Bi1 Bi 0.000 0.460 0.750 1
Te1 Te 0.000 0.090 0.750 1
Te2 Te 0.000 0.374 0.528 1
# ρ (Mg/m³): 5.975
# Calculated volume (Å³/cell): 927.8
# Raw total energy (eV per atom): -3.95

2.
# PBE PmMgZn, relaxed
data_PmMgZn
_cell_length_a 6.791
_cell_length_b 6.791
_cell_length_c 6.791
_cell_angle_alpha 90.00
_cell_angle_beta 90.00
_cell_angle_gamma 90.00
_symmetry_space_group_name_H-M 'F -4 3 m'
_symmetry_Int_Tables_number 216
_symmetry_space_group_name_Hall 'F -4 2 3'
loop_
_atom_site_label
_atom_site_type_symbol
_atom_site_fract_x
_atom_site_fract_y
_atom_site_fract_z
_atom_site_occupancy
Pm1 Pm 0.000 0.000 0.000 1
Mg1 Mg 0.000 0.000 0.500 1
Zn1 Zn 0.250 0.250 0.750 1
# ρ (Mg/m³): 4.978
# Calculated volume (Å³/cell): 313.2
# Polymorph energy (0 for the lowest one) (eV per atom): 0.000

Repeat the first record exactly.
# PBE RbGdBiTe3, relaxed
data_RbGdBiTe3
_cell_length_a 4.483
_cell_length_b 17.459
_cell_length_c 11.855
_cell_angle_alpha 90.00
_cell_angle_beta 90.00
_cell_angle_gamma 90.00
_symmetry_space_group_name_H-M 'C m c m'
_symmetry_Int_Tables_number 63
_symmetry_space_group_name_Hall '-C 2c 2'
loop_
_atom_site_label
_atom_site_type_symbol
_atom_site_fract_x
_atom_site_fract_y
_atom_site_fract_z
_atom_site_occupancy
Rb1 Rb 0.000 0.238 0.250 1
Gd1 Gd 0.000 0.000 0.000 1
Bi1 Bi 0.000 0.460 0.750 1
Te1 Te 0.000 0.090 0.750 1
Te2 Te 0.000 0.374 0.528 1
# ρ (Mg/m³): 5.975
# Calculated volume (Å³/cell): 927.8
# Raw total energy (eV per atom): -3.95

What is the calculated volume in the second record? 313.2 Å³/cell

Number 2 is which compound? PmMgZn